GGA-PBE Cu4Ag5, relaxed; formation energy = 0.80 eV/f.u.; symmetry = C2/m, No. 12; energy above the lowest structure with this stoichiometry = 0.051 eV/atom
1.0
7.069 -1.432 0.000
7.069 1.432 0.000
-4.046 0.000 6.827
Cu Ag
4 5
direct
0.057 0.057 0.345 Cu
0.404 0.404 0.363 Cu
0.596 0.596 0.637 Cu
0.943 0.943 0.655 Cu
0.157 0.157 0.961 Ag
0.273 0.273 0.673 Ag
0.500 0.500 0.000 Ag
0.727 0.727 0.327 Ag
0.843 0.843 0.039 Ag

=====

GGA-PBE Cu3Ag5, relaxed; formation energy = 0.65 eV/f.u.; symmetry = Pmm2, No. 25; energy above the lowest structure with this stoichiometry = 0.045 eV/atom
1.0
2.847 0.000 0.000
0.000 3.837 0.000
0.000 0.000 11.485
Cu Ag
3 5
direct
0.000 0.000 0.000 Cu
0.000 0.000 0.237 Cu
0.500 0.500 0.349 Cu
0.000 0.000 0.466 Ag
0.000 0.000 0.741 Ag
0.500 0.500 0.120 Ag
0.500 0.500 0.603 Ag
0.500 0.500 0.877 Ag

=====

GGA-PBE Cu4Ag5, relaxed; formation energy = 0.86 eV/f.u.; symmetry = C2/m, No. 12; energy above the lowest structure with this stoichiometry = 0.058 eV/atom
1.0
7.223 -1.421 0.000
7.223 1.421 0.000
-4.566 0.000 6.731
Cu Ag
4 5
direct
0.066 0.066 0.335 Cu
0.279 0.279 0.650 Cu
0.721 0.721 0.350 Cu
0.934 0.934 0.665 Cu
0.167 0.167 0.008 Ag
0.389 0.389 0.345 Ag
0.500 0.500 0.000 Ag
0.611 0.611 0.655 Ag
0.833 0.833 0.992 Ag

=====

GGA-PBE CuAg, relaxed; formation energy = 0.20 eV/f.u.; symmetry = Pm, No. 6
1.0
5.589 0.000 0.000
0.000 3.846 0.000
-2.700 0.000 5.553
Cu Ag
4 4
direct
0.000 0.000 0.000 Cu
0.118 0.500 0.773 Cu
0.363 0.500 0.245 Cu
0.629 0.500 0.756 Cu
0.252 0.000 0.502 Ag
0.484 0.000 0.000 Ag
0.754 0.000 0.520 Ag
0.872 0.500 0.243 Ag

=====

GGA-PBE CuAg2, relaxed; formation energy = 0.23 eV/f.u.; symmetry = C2/m, No. 12; energy above the lowest structure with this stoichiometry = 0.045 eV/atom
1.0
5.781 -2.035 0.000
5.781 2.035 0.000
-1.906 0.000 6.103
Cu Ag
3 6
direct
0.000 0.000 0.000 Cu
0.445 0.445 0.657 Cu
0.555 0.555 0.343 Cu
0.106 0.106 0.674 Ag
0.216 0.216 0.332 Ag
0.345 0.345 0.997 Ag
0.655 0.655 0.003 Ag
0.784 0.784 0.668 Ag
0.894 0.894 0.326 Ag

=====

GGA-PBE Cu3Ag2, relaxed; formation energy = 0.37 eV/f.u.; symmetry = P4mm, No. 99; energy above the lowest structure with this stoichiometry = 0.031 eV/atom
1.0
2.812 0.000 0.000
0.000 2.812 0.000
0.000 0.000 18.074
Cu Ag
6 4
direct
0.000 0.000 0.000 Cu
0.000 0.000 0.170 Cu
0.000 0.000 0.583 Cu
0.000 0.000 0.790 Cu
0.500 0.500 0.085 Cu
0.500 0.500 0.499 Cu
0.000 0.000 0.396 Ag
0.500 0.500 0.274 Ag
0.500 0.500 0.687 Ag
0.500 0.500 0.895 Ag

=====

GGA-PBE CuAg2, relaxed; formation energy = 0.24 eV/f.u.; symmetry = C2/m, No. 12; energy above the lowest structure with this stoichiometry = 0.049 eV/atom
1.0
5.978 -1.414 0.000
5.978 1.414 0.000
-1.415 0.000 5.627
Cu Ag
2 4
direct
0.171 0.171 0.073 Cu
0.829 0.829 0.927 Cu
0.172 0.172 0.602 Ag
0.494 0.494 0.758 Ag
0.506 0.506 0.242 Ag
0.828 0.828 0.398 Ag

=====

GGA-PBE CuAg2, relaxed; formation energy = 0.23 eV/f.u.; symmetry = Imm2, No. 44; energy above the lowest structure with this stoichiometry = 0.047 eV/atom
1.0
-1.433 1.932 13.003
1.433 -1.932 13.003
1.433 1.932 -13.003
Cu Ag
3 6
direct
0.000 0.000 0.000 Cu
0.214 0.214 0.000 Cu
0.666 0.666 0.000 Cu
0.114 0.114 0.000 Ag
0.326 0.326 0.000 Ag
0.447 0.447 0.000 Ag
0.554 0.554 0.000 Ag
0.766 0.766 0.000 Ag
0.887 0.887 0.000 Ag

=====

GGA-PBE CuAg2, relaxed; formation energy = 0.24 eV/f.u.; symmetry = Cm, No. 8; energy above the lowest structure with this stoichiometry = 0.049 eV/atom
1.0
7.317 -1.434 0.000
7.317 1.434 0.000
-0.135 0.000 6.876
Cu Ag
3 6
direct
0.000 0.000 0.000 Cu
0.546 0.546 0.301 Cu
0.648 0.648 0.984 Cu
0.101 0.101 0.653 Ag
0.204 0.204 0.303 Ag
0.323 0.323 0.988 Ag
0.439 0.439 0.669 Ag
0.767 0.767 0.648 Ag
0.888 0.888 0.319 Ag

=====

GGA-PBE CuAg, relaxed; formation energy = 0.18 eV/f.u.; symmetry = P-3m1, No. 164
1.0
2.800 0.000 0.000
-1.400 2.425 0.000
0.000 0.000 13.301
Cu Ag
3 3
direct
0.000 0.000 0.000 Cu
0.333 0.667 0.146 Cu
0.667 0.333 0.854 Cu
0.000 0.000 0.500 Ag
0.333 0.667 0.687 Ag
0.667 0.333 0.313 Ag

=====

GGA-PBE Cu3Ag2, relaxed; formation energy = 0.30 eV/f.u.; symmetry = P4mm, No. 99; energy above the lowest structure with this stoichiometry = 0.018 eV/atom
1.0
2.767 0.000 0.000
0.000 2.767 0.000
0.000 0.000 18.588
Cu Ag
6 4
direct
0.000 0.000 0.000 Cu
0.000 0.000 0.171 Cu
0.000 0.000 0.620 Cu
0.000 0.000 0.828 Cu
0.500 0.500 0.086 Cu
0.500 0.500 0.914 Cu
0.000 0.000 0.396 Ag
0.500 0.500 0.276 Ag
0.500 0.500 0.516 Ag
0.500 0.500 0.724 Ag

=====

GGA-PBE CuAg, relaxed; formation energy = 0.22 eV/f.u.; symmetry = R-3m, No. 166
1.0
1.395 0.806 17.849
-1.395 0.806 17.849
0.000 -1.611 17.849
Cu Ag
4 4
direct
0.065 0.065 0.065 Cu
0.185 0.185 0.185 Cu
0.815 0.815 0.815 Cu
0.935 0.935 0.935 Cu
0.310 0.310 0.310 Ag
0.440 0.440 0.440 Ag
0.560 0.560 0.560 Ag
0.690 0.690 0.690 Ag

=====

GGA-PBE CuAg, relaxed; formation energy = 0.12 eV/f.u.; symmetry = Pmmn, No. 59
1.0
2.858 0.000 0.000
0.000 3.401 0.000
0.000 0.000 12.286
Cu Ag
4 4
direct
0.250 0.250 0.052 Cu
0.250 0.250 0.847 Cu
0.750 0.750 0.153 Cu
0.750 0.750 0.948 Cu
0.250 0.250 0.278 Ag
0.250 0.250 0.574 Ag
0.750 0.750 0.426 Ag
0.750 0.750 0.722 Ag

=====

GGA-PBE Cu4Ag5, relaxed; formation energy = 0.91 eV/f.u.; symmetry = P3m1, No. 156; energy above the lowest structure with this stoichiometry = 0.063 eV/atom
1.0
2.819 0.000 0.000
-1.410 2.442 0.000
0.000 0.000 20.104
Cu Ag
4 5
direct
0.000 0.000 0.000 Cu
0.000 0.000 0.317 Cu
0.000 0.000 0.660 Cu
0.333 0.667 0.221 Cu
0.333 0.667 0.551 Ag
0.333 0.667 0.891 Ag
0.667 0.333 0.110 Ag
0.667 0.333 0.428 Ag
0.667 0.333 0.768 Ag

=====

GGA-PBE CuAg, relaxed; formation energy = 0.12 eV/f.u.; symmetry = Pmmn, No. 59
1.0
2.860 0.000 0.000
0.000 3.439 0.000
0.000 0.000 12.186
Cu Ag
4 4
direct
0.250 0.250 0.053 Cu
0.250 0.250 0.845 Cu
0.750 0.750 0.155 Cu
0.750 0.750 0.947 Cu
0.250 0.250 0.280 Ag
0.250 0.250 0.573 Ag
0.750 0.750 0.427 Ag
0.750 0.750 0.720 Ag

=====

GGA-PBE CuAg, relaxed; formation energy = 0.19 eV/f.u.; symmetry = R3m, No. 160
1.0
1.412 0.815 21.851
-1.412 0.815 21.851
0.000 -1.630 21.851
Cu Ag
5 5
direct
0.000 0.000 0.000 Cu
0.089 0.089 0.089 Cu
0.393 0.393 0.393 Cu
0.489 0.489 0.489 Cu
0.696 0.696 0.696 Cu
0.189 0.189 0.189 Ag
0.300 0.300 0.300 Ag
0.596 0.596 0.596 Ag
0.789 0.789 0.789 Ag
0.892 0.892 0.892 Ag

=====

GGA-PBE CuAg, relaxed; formation energy = 0.16 eV/f.u.; symmetry = Cmmm, No. 65
1.0
1.979 -9.526 0.000
1.979 9.526 0.000
0.000 0.000 3.956
Cu Ag
5 5
direct
0.000 0.000 0.000 Cu
0.210 0.790 0.000 Cu
0.291 0.709 0.500 Cu
0.709 0.291 0.500 Cu
0.790 0.210 0.000 Cu
0.109 0.891 0.500 Ag
0.391 0.609 0.000 Ag
0.500 0.500 0.500 Ag
0.609 0.391 0.000 Ag
0.891 0.109 0.500 Ag

=====

GGA-PBE Cu4Ag5, relaxed; formation energy = 0.81 eV/f.u.; symmetry = Cm, No. 8; energy above the lowest structure with this stoichiometry = 0.052 eV/atom
1.0
7.132 -1.415 0.000
7.132 1.415 0.000
-0.331 0.000 6.810
Cu Ag
4 5
direct
0.000 0.000 0.000 Cu
0.549 0.549 0.306 Cu
0.650 0.650 0.990 Cu
0.771 0.771 0.645 Cu
0.109 0.109 0.659 Ag
0.210 0.210 0.316 Ag
0.318 0.318 0.974 Ag
0.438 0.438 0.668 Ag
0.888 0.888 0.316 Ag

=====

GGA-PBE Cu2Ag7, relaxed; formation energy = 0.56 eV/f.u.; symmetry = Immm, No. 71; energy above the lowest structure with this stoichiometry = 0.036 eV/atom
1.0
-1.442 2.004 12.997
1.442 -2.004 12.997
1.442 2.004 -12.997
Cu Ag
2 7
direct
0.111 0.111 0.000 Cu
0.889 0.889 0.000 Cu
0.000 0.000 0.000 Ag
0.221 0.221 0.000 Ag
0.336 0.336 0.000 Ag
0.442 0.442 0.000 Ag
0.558 0.558 0.000 Ag
0.664 0.664 0.000 Ag
0.779 0.779 0.000 Ag

=====

GGA-PBE Cu3Ag5, relaxed; formation energy = 0.79 eV/f.u.; symmetry = C2/m, No. 12; energy above the lowest structure with this stoichiometry = 0.062 eV/atom
1.0
4.603 -1.425 0.000
4.603 1.425 0.000
-1.843 0.000 9.614
Cu Ag
3 5
direct
0.000 0.000 0.000 Cu
0.497 0.497 0.237 Cu
0.503 0.503 0.763 Cu
0.000 0.000 0.500 Ag
0.243 0.243 0.368 Ag
0.251 0.251 0.877 Ag
0.749 0.749 0.123 Ag
0.757 0.757 0.632 Ag